Entry 1:
Density functional theory data (PBEsol) for a geometry-optimized ZnTc2P structure.

Results
density	8.73	g/cm³
total moment	0.00	μB/f.u.
calculated total energy	-30.056	eV for the cell shown
crystal system	trigonal

Cell lengths 2.796, 2.796, 8.368 Å; angles 80.38, 80.38, 60.00 degrees
Element x y z (fractional)
P 0.256 0.256 0.232
Tc 0.996 0.996 0.013
Tc 0.747 0.747 0.759
Zn 0.501 0.501 0.497



Entry 2:
Density functional theory data (PBEsol) for a geometry-optimized Zn4TcP structure.

Results
density	7.94	g/cm³
total moment	0.00	μB/f.u.
calculated total energy	-21.821	eV for the cell shown
crystal system	cubic

Cell lengths 4.870, 4.870, 4.870 Å; angles 60.00, 60.00, 60.00 degrees
Element x y z (fractional)
Zn 0.122 0.626 0.626
Zn 0.626 0.626 0.626
Zn 0.626 0.122 0.626
Zn 0.626 0.626 0.122
P 0.250 0.250 0.250
Tc 0.000 0.000 0.000



Entry 3:
Density functional theory data (PBEsol) for a geometry-optimized ZnTc2P structure.

Results
density	8.60	g/cm³
total moment	0.00	μB/f.u.
calculated total energy	-28.993	eV for the cell shown
crystal system	orthorhombic

Cell lengths 2.695, 2.695, 8.483 Å; angles 90.00, 90.00, 113.53 degrees
Element x y z (fractional)
Zn 0.000 0.000 0.504
Tc 0.000 0.000 0.009
Tc 0.500 0.500 0.757
P 0.500 0.500 0.230



Entry 4:
Density functional theory data (PBEsol) for a geometry-optimized ZnTcP3 structure.

Results
density	4.89	g/cm³
total moment	2.12	μB/f.u.
calculated total energy	-23.213	eV for the cell shown
crystal system	cubic

Cell lengths 4.433, 4.433, 4.433 Å; angles 90.00, 90.00, 90.00 degrees
Each line ends with the local moment (μB).
Element x y z (fractional)
Tc 0.500 0.500 0.500  2.33
P 0.000 0.500 0.000  -0.08
P 0.000 0.000 0.500  -0.08
P 0.500 0.000 0.000  -0.08
Zn 0.000 0.000 0.000  0.01



Entry 5:
Density functional theory data (PBEsol) for a geometry-optimized ZnTcP structure.

Results
density	8.18	g/cm³
total moment	0.00	μB/f.u.
calculated total energy	-19.706	eV for the cell shown
crystal system	tetragonal

Cell lengths 3.051, 3.051, 4.757 Å; angles 108.71, 108.71, 90.00 degrees
Element x y z (fractional)
Zn 0.336 0.336 0.673
Tc 0.645 0.645 0.291
P 0.018 0.018 0.037



Entry 6:
Density functional theory data (PBEsol) for a geometry-optimized Zn2TcP structure.

Results
density	7.64	g/cm³
total moment	0.00	μB/f.u.
calculated total energy	-19.120	eV for the cell shown
crystal system	trigonal

Cell lengths 2.764, 2.764, 8.683 Å; angles 80.84, 80.84, 60.00 degrees
Element x y z (fractional)
Zn 0.749 0.749 0.752
Zn 0.251 0.251 0.248
P 0.500 0.500 0.500
Tc 0.000 0.000 0.000



Entry 7:
Density functional theory data (PBEsol) for a geometry-optimized ZrTcP2 structure.

Results
density	6.72	g/cm³
total moment	0.00	μB/f.u.
calculated total energy	-35.649	eV for the cell shown
crystal system	orthorhombic

Cell lengths 3.255, 3.322, 6.188 Å; angles 105.57, 105.25, 90.00 degrees
Element x y z (fractional)
Tc 0.457 0.457 0.915
Zr 0.209 0.709 0.417
P 0.800 0.300 0.601
P 0.033 0.033 0.067



Entry 8:
Density functional theory data (PBEsol) for a geometry-optimized ZrTcP3 structure.

Results
density	4.03	g/cm³
total moment	3.43	μB/f.u.
calculated total energy	-31.943	eV for the cell shown
crystal system	cubic

Cell lengths 4.880, 4.880, 4.880 Å; angles 90.00, 90.00, 90.00 degrees
Each line ends with the local moment (μB).
Element x y z (fractional)
P 0.000 0.000 0.500  -0.11
P 0.000 0.500 0.000  -0.11
P 0.500 0.000 0.000  -0.11
Tc 0.500 0.500 0.500  3.66
Zr 0.000 0.000 0.000  0.04



Entry 9:
Density functional theory data (PBEsol) for a geometry-optimized Zr3TcP structure.

Results
density	6.25	g/cm³
total moment	1.35	μB/f.u.
calculated total energy	-43.641	eV for the cell shown
crystal system	cubic

Cell lengths 4.747, 4.747, 4.747 Å; angles 90.00, 90.00, 90.00 degrees
Each line ends with the local moment (μB).
Element x y z (fractional)
Tc 0.500 0.500 0.500  1.39
P 0.000 0.000 0.000  0.01
Zr 0.000 0.500 0.000  -0.04
Zr 0.500 0.000 0.000  -0.04
Zr 0.000 0.000 0.500  -0.04



Entry 10:
Density functional theory data (PBEsol) for a geometry-optimized Te8P structure.

Results
density	5.67	g/cm³
total moment	0.00	μB/f.u.
calculated total energy	-31.819	eV for the cell shown
formation energy without anion corrections	0.242	eV/atom
crystal system	tetragonal

Cell lengths 4.308, 8.727, 8.727 Å; angles 86.51, 75.71, 75.71 degrees
Element x y z (fractional)
Te 0.321 0.358 0.000
Te 0.679 0.000 0.642
Te 0.000 0.227 0.773
Te 0.321 0.000 0.358
Te 0.000 0.773 0.227
Te 0.773 0.227 0.227
Te 0.679 0.642 0.000
Te 0.227 0.773 0.773
P 0.000 0.000 0.000



Entry 11:
Density functional theory data (PBEsol) for a geometry-optimized Ti2Te2P structure.

Results
density	6.06	g/cm³
total moment	0.00	μB/f.u.
calculated total energy	-34.219	eV for the cell shown
formation energy without anion corrections	-0.946	eV/atom
crystal system	trigonal

Cell lengths 3.597, 3.597, 9.566 Å; angles 79.16, 79.16, 60.00 degrees
Element x y z (fractional)
Ti 0.620 0.620 0.140
Ti 0.380 0.380 0.860
Te 0.222 0.222 0.334
Te 0.778 0.778 0.666
P 0.000 0.000 0.000



Entry 12:
Density functional theory data (PBEsol) for a geometry-optimized Ti2ZnTeP structure.

Results
density	5.63	g/cm³
total moment	0.31	μB/f.u.
calculated total energy	-28.091	eV for the cell shown
formation energy without anion corrections	-0.109	eV/atom
crystal system	tetragonal

Cell lengths 4.257, 4.706, 4.706 Å; angles 90.00, 90.00, 90.00 degrees
Each line ends with the local moment (μB).
Element x y z (fractional)
Ti 0.000 0.500 0.000  0.12
Ti 0.000 0.000 0.500  0.12
Zn 0.500 0.000 0.000  0.00
P 0.000 0.000 0.000  0.00
Te 0.500 0.500 0.500  0.00



Entry 13:
Density functional theory data (PBEsol) for a geometry-optimized TlTe2P structure.

Results
density	7.70	g/cm³
total moment	0.00	μB/f.u.
calculated total energy	-14.674	eV for the cell shown
formation energy without anion corrections	0.200	eV/atom
crystal system	orthorhombic

Cell lengths 3.490, 5.682, 6.291 Å; angles 116.84, 106.10, 90.00 degrees
Element x y z (fractional)
Te 0.041 0.041 0.081
Te 0.270 0.770 0.539
Tl 0.476 0.476 0.953
P 0.714 0.214 0.427



Entry 14:
Density functional theory data (PBEsol) for a geometry-optimized TlTeP structure.

Results
density	7.69	g/cm³
total moment	0.00	μB/f.u.
calculated total energy	-11.408	eV for the cell shown
formation energy without anion corrections	0.180	eV/atom
crystal system	tetragonal

Cell lengths 3.687, 3.687, 6.329 Å; angles 106.93, 106.93, 90.00 degrees
Element x y z (fractional)
P 0.958 0.958 0.916
Te 0.381 0.381 0.761
Tl 0.661 0.661 0.323



Entry 15:
Density functional theory data (PBEsol) for a geometry-optimized Tl2TeP structure.

Results
density	8.97	g/cm³
total moment	0.00	μB/f.u.
calculated total energy	-14.121	eV for the cell shown
formation energy without anion corrections	0.114	eV/atom
crystal system	orthorhombic

Cell lengths 3.540, 5.692, 6.197 Å; angles 117.34, 106.60, 90.00 degrees
Element x y z (fractional)
Te 0.199 0.699 0.398
P 0.515 0.515 0.030
Tl 0.785 0.285 0.570
Tl 0.001 0.001 0.001